Record 1
DFT (PBE-GGA) results for a relaxed NdDy2NpO8 crystal.

Structure (POSCAR):
```
NdDy2NpO8
1.0
3.9189 0.0000 0.0000
0.0000 7.4978 0.0000
-0.3625 0.0000 5.4092
Nd Dy Np O
1 2 1 8
direct
0.0000 0.0000 0.0000
0.5000 0.2433 0.5000
0.5000 0.7567 0.5000
0.0000 0.5000 0.0000
0.0259 0.2822 0.7599
0.0259 0.7178 0.7599
0.4575 0.5000 0.2242
0.4921 0.0000 0.7400
0.5079 0.0000 0.2600
0.5425 0.5000 0.7758
0.9741 0.2822 0.2401
0.9741 0.7178 0.2401
```

* space-group type: P2/m (10)
* total DFT energy (no corrections): -104.64 eV/f.u.
* raw formation energy: -73.1 kcal/mol of atoms
* Fermi-level density of states: 1.40 states/eV/cell

Record 2
DFT (PBE-GGA) results for a relaxed TaNiOs crystal.

Structure (POSCAR):
```
TaNiOs
1.0
4.3530 0.0000 0.0000
-2.1765 3.7698 0.0000
0.0000 0.0000 2.6724
Ta Ni Os
1 1 1
direct
0.0000 0.0000 0.0000
0.3333 0.6667 0.7780
0.6667 0.3333 0.3465
```

* energy above the lowest structure with this stoichiometry: 257 meV per atom
* DFT formation energy: -86 meV/atom
* space-group type: P3m1 (156)
* total DFT energy (no corrections): -29.12 eV/f.u.
* Fermi-level density of states: 1.86 states/eV/cell

> Which of these has the highest Fermi-level density of states?

TaNiOs

> Look up the Fermi-level density of states of the first one.

1.40 states/eV/cell